! YMgZnCd (PBE, relaxed); values from VASP
! * distance to the lowest polymorph of the same formula: 173 meV/atom
&SYSTEM
  ibrav = 0, nat = 4, ntyp = 4
/
ATOMIC_SPECIES
Y 88.91 Y.upf
Mg 24.30 Mg.upf
Zn 65.41 Zn.upf
Cd 112.41 Cd.upf
ATOMIC_POSITIONS crystal
Y 0.000 0.000 0.000
Mg 0.250 0.250 0.250
Zn 0.500 0.500 0.500
Cd 0.750 0.750 0.750
CELL_PARAMETERS angstrom
0.000 3.501 3.501
3.501 0.000 3.501
3.501 3.501 0.000